CaMn9CdO10, relaxed, DFT PBE+U; crystal system = triclinic; volume = 14.62 Å³ per atom; symmetry = P1; excess energy over the best structure of this formula in the dataset = 0.0926 eV per atom
1.0
-3.466 -4.585 -0.882
3.562 -4.407 -1.906
1.191 -2.818 8.658
O Cd Ca Mn
10 1 1 9
direct
0.309 0.541 0.536
0.184 0.843 0.833
0.190 0.136 0.129
0.673 0.130 0.129
0.838 0.929 0.574
0.319 0.043 0.494
0.178 0.679 0.204
0.789 0.438 0.676
0.671 0.575 0.308
0.740 0.669 0.994
0.393 0.211 0.933
0.385 0.339 0.298
0.529 0.616 0.838
0.981 0.884 0.041
0.092 0.841 0.399
0.597 0.710 0.510
0.490 0.837 0.166
0.043 0.626 0.705
0.070 0.114 0.677
0.536 0.225 0.618
0.872 0.388 0.141